Computed, not measured: an optimized crystal structure of KBH2 at the GGA-PBE level of DFT.

```
data_KBH2
_chemical_formula_sum 'K4 B4 H8'
_cell_length_a 4.5505
_cell_length_b 4.5505
_cell_length_c 8.8499
_cell_angle_alpha 90.00
_cell_angle_beta 90.00
_cell_angle_gamma 90.00
_space_group_name_H-M_alt 'I 41/a m d'
_space_group_IT_number 141
loop_
_space_group_symop_operation_xyz
'x,y,z'
'-x,-y,-z'
'-y+1/4,x+3/4,z+1/4'
'y+1/4,-x+3/4,-z+1/4'
'-x+1/2,-y,z+1/2'
'x+1/2,y,-z+1/2'
'y+1/4,-x+1/4,z+3/4'
'-y+1/4,x+1/4,-z+3/4'
'x,-y,-z'
'-x,y,z'
'-y+1/4,-x+1/4,-z+3/4'
'y+1/4,x+1/4,z+3/4'
'-x+1/2,y,-z+1/2'
'x+1/2,-y,z+1/2'
'y+1/4,x+3/4,-z+1/4'
'-y+1/4,-x+3/4,z+1/4'
'x+1/2,y+1/2,z+1/2'
'-x+1/2,-y+1/2,-z+1/2'
'-y+3/4,x+1/4,z+3/4'
'y+3/4,-x+1/4,-z+3/4'
'-x,-y+1/2,z'
'x,y+1/2,-z'
'y+3/4,-x+3/4,z+1/4'
'-y+3/4,x+3/4,-z+1/4'
'x+1/2,-y+1/2,-z+1/2'
'-x+1/2,y+1/2,z+1/2'
'-y+3/4,-x+3/4,-z+1/4'
'y+3/4,x+3/4,z+1/4'
'-x,y+1/2,-z'
'x,-y+1/2,z'
'y+3/4,x+1/4,-z+3/4'
'-y+3/4,-x+1/4,z+3/4'
loop_
_atom_site_label
_atom_site_type_symbol
_atom_site_fract_x
_atom_site_fract_y
_atom_site_fract_z
_atom_site_occupancy
K1 K 0.0000 0.2500 0.3750 1
B1 B 0.0000 0.2500 0.8750 1
H1 H 0.0000 0.0000 0.0000 1
```

Output
E above lowest polymorph in eV per atom: 0.000
Crystal system: tetragonal